[1]
PPtW2: relaxed, PBE.

Size of the total moment in Bohr magnetons per cell: 0.000
E_tot in eV for the cell shown: -38.0

a = 2.913 Å, b = 2.913 Å, c = 6.915 Å
α = 90.00°, β = 90.00°, γ = 90.00°
Fractional positions:
P (0.000, 0.000, 0.000)
Pt (0.000, 0.000, 0.500)
W (0.500, 0.500, 0.215)
W (0.500, 0.500, 0.785)


[2]
PPtW2: relaxed, PBE.

Size of the total moment in Bohr magnetons per cell: 0.000
E_tot in eV for the cell shown: -68.4

a = 6.688 Å, b = 6.688 Å, c = 6.688 Å
α = 129.81°, β = 129.81°, γ = 73.72°
Fractional positions:
P (0.000, 0.000, 0.000)
P (0.750, 0.250, 0.500)
Pt (0.250, 0.750, 0.500)
Pt (0.500, 0.500, 0.000)
W (0.112, 0.625, 0.987)
W (0.375, 0.362, 0.487)
W (0.638, 0.125, 0.013)
W (0.875, 0.888, 0.513)


[3]
PPtW2: relaxed, PBE.

Size of the total moment in Bohr magnetons per cell: 0.000
E_tot in eV for the cell shown: -37.7

a = 5.201 Å, b = 5.201 Å, c = 4.454 Å
α = 115.32°, β = 115.32°, γ = 33.33°
Fractional positions:
P (0.000, 0.000, 0.000)
Pt (0.720, 0.720, 0.222)
W (0.285, 0.285, 0.787)
W (0.497, 0.497, 0.499)


[4]
P2PtW: relaxed, PBE.

Size of the total moment in Bohr magnetons per cell: 0.000
E_tot in eV for the cell shown: -30.3
Energy above the lowest structure with this stoichiometry in eV/atom: 0.1454

a = 2.910 Å, b = 3.126 Å, c = 6.789 Å
α = 90.00°, β = 90.00°, γ = 90.00°
Fractional positions:
P (0.000, 0.000, 0.211)
P (0.000, 0.000, 0.789)
Pt (0.500, 0.000, 0.500)
W (0.500, 0.500, 0.000)


[5]
PPtW: relaxed, PBE.

Size of the total moment in Bohr magnetons per cell: 0.000
E_tot in eV for the cell shown: -24.4
Energy above the lowest structure with this stoichiometry in eV/atom: 0.1224

a = 4.180 Å, b = 4.180 Å, c = 3.012 Å
α = 90.00°, β = 90.00°, γ = 120.00°
Fractional positions:
P (0.000, 0.000, 0.000)
Pt (0.333, 0.667, 0.382)
W (0.667, 0.333, 0.901)


[6]
PPtW2: relaxed, PBE.

Size of the total moment in Bohr magnetons per cell: 0.000
E_tot in eV for the cell shown: -37.3

a = 2.983 Å, b = 2.983 Å, c = 6.875 Å
α = 90.00°, β = 90.00°, γ = 90.00°
Fractional positions:
P (0.000, 0.000, 0.000)
Pt (0.500, 0.500, 0.270)
W (0.000, 0.000, 0.536)
W (0.500, 0.500, 0.822)


[7]
PPtW2: relaxed, PBE.

Size of the total moment in Bohr magnetons per cell: 0.000
E_tot in eV for the cell shown: -36.3

a = 4.824 Å, b = 4.824 Å, c = 2.864 Å
α = 90.00°, β = 90.00°, γ = 114.04°
Fractional positions:
P (0.000, 0.000, 0.000)
Pt (0.500, 0.500, 0.000)
W (0.000, 0.500, 0.500)
W (0.500, 0.000, 0.500)


[8]
P2PtW: relaxed, PBE.

Size of the total moment in Bohr magnetons per cell: 0.000
E_tot in eV for the cell shown: -29.3
Energy above the lowest structure with this stoichiometry in eV/atom: 0.3828

a = 4.321 Å, b = 4.321 Å, c = 4.321 Å
α = 60.00°, β = 60.00°, γ = 60.00°
Fractional positions:
P (0.250, 0.250, 0.250)
P (0.750, 0.750, 0.750)
Pt (0.000, 0.000, 0.000)
W (0.500, 0.500, 0.500)


[9]
PPtW2: relaxed, PBE.

Size of the total moment in Bohr magnetons per cell: 0.000
E_tot in eV for the cell shown: -37.2

a = 8.571 Å, b = 8.571 Å, c = 8.571 Å
α = 19.32°, β = 19.32°, γ = 19.32°
Fractional positions:
P (0.000, 0.000, 0.000)
Pt (0.500, 0.500, 0.500)
W (0.257, 0.257, 0.257)
W (0.743, 0.743, 0.743)


[10]
P2PtW: relaxed, PBE.

Size of the total moment in Bohr magnetons per cell: 0.000
E_tot in eV for the cell shown: -30.8
Energy above the lowest structure with this stoichiometry in eV/atom: 0.0000

a = 4.528 Å, b = 4.394 Å, c = 4.394 Å
α = 50.03°, β = 90.00°, γ = 90.00°
Fractional positions:
P (0.000, 0.000, 0.000)
P (0.500, 0.183, 0.183)
Pt (0.500, 0.871, 0.871)
W (0.000, 0.311, 0.311)


[11]
P2Pt2W: relaxed, PBE.

Size of the total moment in Bohr magnetons per cell: 0.000
E_tot in eV for the cell shown: -71.7
Energy above the lowest structure with this stoichiometry in eV/atom: 0.0000

a = 6.680 Å, b = 6.680 Å, c = 3.324 Å
α = 90.00°, β = 90.00°, γ = 90.00°
Fractional positions:
P (0.159, 0.341, 0.000)
P (0.341, 0.841, 0.000)
P (0.659, 0.159, 0.000)
P (0.841, 0.659, 0.000)
Pt (0.150, 0.650, 0.500)
Pt (0.350, 0.150, 0.500)
Pt (0.650, 0.850, 0.500)
Pt (0.850, 0.350, 0.500)
W (0.000, 0.000, 0.000)
W (0.500, 0.500, 0.000)


[12]
PPtW3: relaxed, PBE.

Size of the total moment in Bohr magnetons per cell: 0.000
E_tot in eV for the cell shown: -46.1
Energy above the lowest structure with this stoichiometry in eV/atom: 0.0000

a = 4.415 Å, b = 4.415 Å, c = 4.415 Å
α = 90.00°, β = 90.00°, γ = 90.00°
Fractional positions:
P (0.000, 0.000, 0.000)
Pt (0.500, 0.500, 0.500)
W (0.000, 0.000, 0.500)
W (0.000, 0.500, 0.000)
W (0.500, 0.000, 0.000)